A PBEsol-optimized structure of KLi2Zr, computed with SCAN.

Cell and atoms, written as POSCAR:
```
KLi2Zr
1.0
3.1336 -0.1220 0.0000
-1.1514 2.9170 0.0000
0.0000 0.0000 11.7193
K Li Zr
1 2 1
Direct
0.5000 0.5000 0.0000
0.0000 0.0000 0.7167
0.0000 0.0000 0.2833
0.5000 0.5000 0.5000
```

## Properties
- Energy: -0.3870 hartree per atom
- Calculated formation energy: 421.4 meV per atom
- DOS at the Fermi energy: 2.9 states/eV per cell
- SG: Cmmm (65)
- ΔE to the lowest computed polymorph: 0 meV/atom

***

A PBEsol-optimized structure of KLi2Zr, computed with SCAN.

Cell and atoms, written as POSCAR:
```
KLi2Zr
1.0
2.8685 0.0000 0.0000
-1.4343 5.1015 0.0187
0.0000 -0.3325 7.6230
Zr Li K
1 2 1
Direct
0.0000 0.0000 0.5000
0.2574 0.5147 0.3255
0.7426 0.4853 0.6745
0.5000 0.0000 0.0000
```

## Properties
- Energy: -0.3833 hartree per atom
- Calculated formation energy: 521.8 meV per atom
- DOS at the Fermi energy: 3.0 states/eV per cell
- SG: C2/m (12)
- ΔE to the lowest computed polymorph: 100 meV/atom

***

A PBEsol-optimized structure of K2LiZr, computed with SCAN.

Cell and atoms, written as POSCAR:
```
K2LiZr
1.0
3.2787 0.0000 0.0000
0.0000 3.4555 0.0161
0.0000 -0.0237 12.0572
K Li Zr
2 1 1
Direct
0.0000 0.9963 0.9597
0.5000 0.5030 0.3043
0.0000 0.0013 0.5389
0.5000 0.4994 0.6972
```

## Properties
- Energy: -0.4358 hartree per atom
- Calculated formation energy: 578.5 meV per atom
- DOS at the Fermi energy: 2.5 states/eV per cell
- SG: Pm (6)
- ΔE to the lowest computed polymorph: 0 meV/atom

***

A PBEsol-optimized structure of KLuP2O7, computed with SCAN.

Cell and atoms, written as POSCAR:
```
KLuP2O7
1.0
-3.1233 -3.2612 6.0534
8.0664 1.9437 2.0482
-3.2109 9.6134 3.5223
O P Lu K
28 8 4 4
Direct
0.3291 0.0175 0.3856
0.5419 0.2602 0.7205
0.6709 0.9825 0.6144
0.3645 0.2619 0.9179
0.6709 0.4825 0.8856
0.6612 0.6904 0.5720
0.6612 0.1904 0.9280
0.9273 0.2590 0.7705
0.0727 0.7410 0.2295
0.9273 0.7590 0.7295
0.9910 0.7861 0.4982
0.0090 0.7139 0.9982
0.0727 0.2410 0.2705
0.5419 0.7602 0.7795
0.4581 0.7398 0.2795
0.8623 0.0052 0.9044
0.1377 0.9948 0.0956
0.1377 0.4948 0.4044
0.9910 0.2861 0.0018
0.3388 0.3096 0.4280
0.3645 0.7619 0.5821
0.6355 0.7381 0.0821
0.4581 0.2398 0.2205
0.3291 0.5175 0.1144
0.0090 0.2139 0.5018
0.6355 0.2381 0.4179
0.3388 0.8096 0.0720
0.8623 0.5052 0.5956
0.1308 0.3166 0.3994
0.8692 0.1834 0.8994
0.4438 0.6929 0.1417
0.4438 0.1929 0.3583
0.1308 0.8166 0.1006
0.5562 0.3071 0.8583
0.8692 0.6834 0.6006
0.5562 0.8071 0.6417
0.2337 0.7547 0.4027
0.7663 0.7453 0.9027
0.7663 0.2453 0.5973
0.2337 0.2547 0.0973
0.1718 0.0682 0.6785
0.8282 0.4318 0.1785
0.8282 0.9318 0.3215
0.1718 0.5682 0.8215
```

## Properties
- Energy: -0.5380 hartree per atom
- DOS at the Fermi energy: 0.0 states/eV per cell
- E_form (uncorrected): -2.995 eV/atom
- SG: P2_1/c (14)

***

A PBEsol-optimized structure of K2LuZrP3O12, computed with SCAN.

Cell and atoms, written as POSCAR:
```
K2LuZrP3O12
1.0
10.2996 0.0000 0.0000
0.0000 10.2996 0.0000
0.0000 0.0000 10.2996
Zr O P K Lu
4 48 12 8 4
Direct
0.0871 0.5871 0.9129
0.5871 0.9129 0.0871
0.4129 0.4129 0.4129
0.9129 0.0871 0.5871
0.7373 0.9760 0.2053
0.0765 0.3245 0.2345
0.2373 0.5240 0.7947
0.4948 0.5849 0.3527
0.1755 0.7655 0.5765
0.5765 0.1755 0.7655
0.7053 0.7627 0.0240
0.0240 0.7053 0.7627
0.9420 0.7007 0.5366
0.4760 0.2947 0.2627
0.8527 0.0052 0.4151
0.7007 0.5366 0.9420
0.7993 0.4634 0.4420
0.0366 0.5580 0.2993
0.9634 0.0580 0.2007
0.3527 0.4948 0.5849
0.4420 0.7993 0.4634
0.6473 0.9948 0.9151
0.5580 0.2993 0.0366
0.6755 0.7345 0.4235
0.5240 0.7947 0.2373
0.2345 0.0765 0.3245
0.2627 0.4760 0.2947
0.2993 0.0366 0.5580
0.0849 0.1473 0.5052
0.3245 0.2345 0.0765
0.9948 0.9151 0.6473
0.7655 0.5765 0.1755
0.5052 0.0849 0.1473
0.8245 0.2655 0.9235
0.7627 0.0240 0.7053
0.4235 0.6755 0.7345
0.4151 0.8527 0.0052
0.9760 0.2053 0.7373
0.5849 0.3527 0.4948
0.7947 0.2373 0.5240
0.1473 0.5052 0.0849
0.9235 0.8245 0.2655
0.9151 0.6473 0.9948
0.4634 0.4420 0.7993
0.2655 0.9235 0.8245
0.0052 0.4151 0.8527
0.0580 0.2007 0.9634
0.2007 0.9634 0.0580
0.2053 0.7373 0.9760
0.5366 0.9420 0.7007
0.2947 0.2627 0.4760
0.7345 0.4235 0.6755
0.2715 0.8723 0.9641
0.1277 0.4641 0.2285
0.2285 0.1277 0.4641
0.8723 0.9641 0.2715
0.5359 0.7285 0.3723
0.6277 0.0359 0.7715
0.4641 0.2285 0.1277
0.3723 0.5359 0.7285
0.7285 0.3723 0.5359
0.0359 0.7715 0.6277
0.9641 0.2715 0.8723
0.7715 0.6277 0.0359
0.1968 0.8032 0.3032
0.0668 0.4332 0.5668
0.9332 0.9332 0.9332
0.5668 0.0668 0.4332
0.3032 0.1968 0.8032
0.8032 0.3032 0.1968
0.4332 0.5668 0.0668
0.6968 0.6968 0.6968
0.3545 0.8545 0.6455
0.6455 0.3545 0.8545
0.8545 0.6455 0.3545
0.1455 0.1455 0.1455
```

## Properties
- Energy: -0.5159 hartree per atom
- DOS at the Fermi energy: 0.0 states/eV per cell
- E_form (uncorrected): -3.055 eV/atom
- SG: P2_13 (198)

***

A PBEsol-optimized structure of K2RbLuV2O8, computed with SCAN.

Cell and atoms, written as POSCAR:
```
K2RbLuV2O8
1.0
5.8518 0.0000 0.0000
-2.9259 5.0678 0.0000
0.0000 0.0000 7.5584
O V K Lu Rb
8 2 2 1 1
Direct
0.3458 0.1729 0.6701
0.3333 0.6667 0.0304
0.1729 0.3458 0.3299
0.6667 0.3333 0.9696
0.1729 0.8271 0.3299
0.6542 0.8271 0.3299
0.8271 0.6542 0.6701
0.8271 0.1729 0.6701
0.6667 0.3333 0.7506
0.3333 0.6667 0.2494
0.3333 0.6667 0.6888
0.6667 0.3333 0.3112
0.0000 0.0000 0.5000
0.0000 0.0000 0.0000
```

## Properties
- Energy: -0.5710 hartree per atom
- DOS at the Fermi energy: 0.0 states/eV per cell
- E_form (uncorrected): -2.855 eV/atom
- SG: P-3m1 (164)

***

A PBEsol-optimized structure of K3LuSi2O7, computed with SCAN.

Cell and atoms, written as POSCAR:
```
K3LuSi2O7
1.0
5.6995 0.0000 0.0000
-2.8498 4.9359 0.0000
0.0000 0.0000 13.9500
K O Lu Si
6 14 2 4
Direct
0.6667 0.3333 0.9116
0.3333 0.6667 0.4116
0.3333 0.6667 0.0884
0.0000 0.0000 0.7500
0.0000 0.0000 0.2500
0.6667 0.3333 0.5884
0.1765 0.3531 0.5942
0.1765 0.8235 0.9058
0.3531 0.1765 0.0942
0.6469 0.8235 0.5942
0.8235 0.6469 0.4058
0.1765 0.8235 0.5942
0.6667 0.3333 0.2500
0.3531 0.1765 0.4058
0.8235 0.6469 0.0942
0.8235 0.1765 0.0942
0.1765 0.3531 0.9058
0.3333 0.6667 0.7500
0.8235 0.1765 0.4058
0.6469 0.8235 0.9058
0.0000 0.0000 0.0000
0.0000 0.0000 0.5000
0.6667 0.3333 0.3689
0.3333 0.6667 0.8689
0.6667 0.3333 0.1311
0.3333 0.6667 0.6311
```

## Properties
- Energy: -0.5172 hartree per atom
- DOS at the Fermi energy: 0.0 states/eV per cell
- E_form (uncorrected): -2.998 eV/atom
- SG: P6_3/mmc (194)

***

A PBEsol-optimized structure of KLuS2, computed with SCAN.

Cell and atoms, written as POSCAR:
```
KLuS2
1.0
3.9046 0.0000 0.0000
1.9523 3.3814 0.0000
1.9523 1.1271 7.2366
K Lu S
1 1 2
Direct
0.0000 0.0000 0.0000
0.5000 0.5000 0.5000
0.2331 0.2331 0.3006
0.7669 0.7669 0.6994
```

## Properties
- Energy: -0.8408 hartree per atom
- DOS at the Fermi energy: 0.0 states/eV per cell
- E_form (uncorrected): -2.147 eV/atom
- SG: R-3m (166)

***

A PBEsol-optimized structure of K3Mg2, computed with SCAN.

Cell and atoms, written as POSCAR:
```
K3Mg2
1.0
6.0736 0.0000 0.0000
-3.0368 5.2599 0.0000
0.0000 0.0000 7.7204
K Mg
3 2
Direct
0.6667 0.3333 0.6344
0.3333 0.6667 0.3656
0.0000 0.0000 0.0000
0.6667 0.3333 0.0982
0.3333 0.6667 0.9018
```

## Properties
- Energy: -0.2479 hartree per atom
- Calculated formation energy: 241.9 meV per atom
- DOS at the Fermi energy: 3.2 states/eV per cell
- SG: P-3m1 (164)

***

A PBEsol-optimized structure of KMg4, computed with SCAN.

Cell and atoms, written as POSCAR:
```
KMg4
1.0
5.2888 0.0000 0.0000
2.6444 5.1624 0.0000
2.6444 0.0000 5.1624
Mg K
4 1
Direct
0.5546 0.2489 0.6419
0.8035 0.6419 0.7511
0.4454 0.7511 0.3581
0.1965 0.3581 0.2489
0.0000 0.0000 0.0000
```

## Properties
- Energy: -0.1999 hartree per atom
- Calculated formation energy: 205.1 meV per atom
- DOS at the Fermi energy: 2.3 states/eV per cell
- SG: I4/m (87)

***

A PBEsol-optimized structure of K3Mg, computed with SCAN.

Cell and atoms, written as POSCAR:
```
K3Mg
1.0
-0.2583 6.2570 -2.1671
-3.5385 4.5130 3.3203
3.0816 4.8030 3.3686
Mg K
1 3
Direct
0.5000 0.5000 0.5000
0.0000 0.0000 0.0000
0.7500 0.7500 0.7500
0.2500 0.2500 0.2500
```

## Properties
- Energy: -0.2694 hartree per atom
- Calculated formation energy: 157.9 meV per atom
- DOS at the Fermi energy: 2.5 states/eV per cell
- SG: Fm-3m (225)

***

A PBEsol-optimized structure of KMg2, computed with SCAN.

Cell and atoms, written as POSCAR:
```
KMg2
1.0
6.6205 -0.5851 0.0000
-3.3113 5.7627 0.0000
-1.6546 -2.5888 5.8935
Mg K
4 2
Direct
0.1258 0.6258 0.7515
0.8742 0.3742 0.2485
0.6258 0.8742 0.5000
0.3742 0.1258 0.5000
0.2500 0.2500 0.0000
0.7500 0.7500 0.0000
```

## Properties
- Energy: -0.2051 hartree per atom
- Calculated formation energy: 510.1 meV per atom
- DOS at the Fermi energy: 3.3 states/eV per cell
- SG: I4/mcm (140)